VASP calculation (PBE-GGA) on a geometry-optimized RbNaPd2 structure.

The structure belongs to space group I-42d (No. 122); the cell edges are 5.000, 5.000 and 19.655 Å and the angles 90.00°, 90.00° and 90.00°. The asymmetric unit holds Rb at (0.000, 0.000, 0.000), Na at (0.000, 0.000, 0.500) and Pd at (0.086, 0.250, 0.625).

The value obtained for the formation energy is 254 meV/atom. As for the spin magnetization: 0.00 μB/atom. The value obtained for the raw total energy is -2.914 eV per atom.